No. 1
A plane-wave DFT calculation with PBE was carried out for an optimized crystal structure of PmDy2Cd.

Calculated values
V ... 30.6 Å³ per atom
Offset from the most stable computed form ... 0.092 eV per atom

The structure in POSCAR format:
```
PmDy2Cd
1.0
3.6179 0.0000 0.0000
-1.8090 3.1332 0.0000
0.0000 0.0000 32.3890
Pm Dy Cd
3 6 3
direct
0.0000 0.0000 0.0000
0.3333 0.6667 0.6667
0.6667 0.3333 0.3333
0.0000 0.0000 0.2430
0.0000 0.0000 0.4236
0.3333 0.6667 0.0903
0.3333 0.6667 0.9096
0.6667 0.3333 0.5763
0.6667 0.3333 0.7569
0.0000 0.0000 0.8335
0.3333 0.6667 0.5001
0.6667 0.3333 0.1668
```

***

No. 2
A plane-wave DFT calculation with PBE was carried out for an optimized crystal structure of AgP2Se.

Calculated values
V ... 20.5 Å³ per atom
Raw total energy ... -3.7715 eV/atom

The structure in POSCAR format:
```
AgP2Se
1.0
2.6389 0.0000 0.0000
0.0000 2.6389 0.0000
0.0000 0.0000 11.7885
Ag P Se
1 2 1
direct
0.0000 0.0000 0.0000
0.5000 0.5000 0.1890
0.5000 0.5000 0.8110
0.0000 0.0000 0.5000
```

***

No. 3
A plane-wave DFT calculation with PBE was carried out for an optimized crystal structure of CdNi2Ru2.

Calculated values
V ... 14.3 Å³ per atom
Offset from the most stable computed form ... 0.000 eV per atom

The structure in POSCAR format:
```
CdNi2Ru2
1.0
7.2744 0.0000 0.0000
0.0000 7.2744 0.0000
0.0000 0.0000 2.7032
Cd Ni Ru
2 4 4
direct
0.0000 0.0000 0.0000
0.5000 0.5000 0.0000
0.1190 0.3810 0.0000
0.3810 0.8810 0.0000
0.6190 0.1190 0.0000
0.8810 0.6190 0.0000
0.1738 0.6738 0.5000
0.3262 0.1738 0.5000
0.6738 0.8262 0.5000
0.8262 0.3262 0.5000
```

***

No. 4
A plane-wave DFT calculation with PBE was carried out for an optimized crystal structure of CaNbV2.

Calculated values
V ... 23.8 Å³ per atom
Offset from the most stable computed form ... 0.456 eV per atom

The structure in POSCAR format:
```
CaNbV2
1.0
4.5746 0.0000 0.0000
0.0000 4.5746 0.0000
0.0000 0.0000 18.1806
Ca Nb V
4 4 8
direct
0.0000 0.2500 0.3750
0.0000 0.7500 0.6250
0.5000 0.2500 0.1250
0.5000 0.7500 0.8750
0.0000 0.2500 0.8750
0.0000 0.7500 0.1250
0.5000 0.2500 0.6250
0.5000 0.7500 0.3750
0.0000 0.0000 0.0000
0.0000 0.5000 0.0000
0.2500 0.2500 0.7500
0.2500 0.7500 0.2500
0.5000 0.0000 0.5000
0.5000 0.5000 0.5000
0.7500 0.2500 0.7500
0.7500 0.7500 0.2500
```

***

No. 5
A plane-wave DFT calculation with PBE was carried out for an optimized crystal structure of Li2SbMo.

Calculated values
V ... 20.3 Å³ per atom
Raw total energy ... -4.4205 eV/atom

The structure in POSCAR format:
```
Li2SbMo
1.0
3.1884 0.0000 0.0000
-1.5942 2.7612 0.0000
0.0000 0.0000 27.6959
Li Sb Mo
6 3 3
direct
0.0000 0.0000 0.0000
0.0000 0.0000 0.2394
0.3333 0.6667 0.6667
0.3333 0.6667 0.9061
0.6667 0.3333 0.3333
0.6667 0.3333 0.5727
0.0000 0.0000 0.4864
0.3333 0.6667 0.1531
0.6667 0.3333 0.8197
0.0000 0.0000 0.7481
0.3333 0.6667 0.4148
0.6667 0.3333 0.0814
```

***

No. 6
A plane-wave DFT calculation with PBE was carried out for an optimized crystal structure of Ni2RuWI.

Calculated values
V ... 19.6 Å³ per atom
Offset from the most stable computed form ... 0.101 eV per atom

The structure in POSCAR format:
```
Ni2RuWI
1.0
4.4891 0.0000 0.0000
0.0000 4.4891 0.0000
0.0000 0.0000 4.8583
Ni Ru W I
2 1 1 1
direct
0.0000 0.5000 0.0000
0.5000 0.0000 0.0000
0.0000 0.0000 0.5000
0.5000 0.5000 0.5000
0.0000 0.0000 0.0000
```

***

No. 7
A plane-wave DFT calculation with PBE was carried out for an optimized crystal structure of In2NiRu.

Calculated values
V ... 16.8 Å³ per atom
Raw total energy ... -5.0299 eV/atom

The structure in POSCAR format:
```
In2NiRu
1.0
3.2067 0.0000 0.0000
0.0000 4.3781 0.0000
0.0000 0.0000 9.5733
In Ni Ru
4 2 2
direct
0.0000 0.0000 0.0000
0.0000 0.5000 0.2213
0.5000 0.0000 0.7213
0.5000 0.5000 0.5000
0.0000 0.0000 0.4821
0.5000 0.5000 0.9821
0.0000 0.5000 0.7628
0.5000 0.0000 0.2628
```

***

No. 8
A plane-wave DFT calculation with PBE was carried out for an optimized crystal structure of PmCd2GaPt2.

Calculated values
V ... 25.1 Å³ per atom
Raw total energy ... -3.9057 eV/atom

The structure in POSCAR format:
```
PmCd2GaPt2
1.0
5.3657 0.0000 0.0000
0.0000 5.3657 0.0000
0.0000 0.0000 10.4424
Pm Cd Ga Pt
2 4 2 4
direct
0.0000 0.0000 0.0000
0.5000 0.5000 0.5000
0.0000 0.5000 0.2500
0.0000 0.5000 0.7500
0.5000 0.0000 0.2500
0.5000 0.0000 0.7500
0.0000 0.0000 0.5000
0.5000 0.5000 0.0000
0.0000 0.0000 0.2714
0.0000 0.0000 0.7286
0.5000 0.5000 0.2286
0.5000 0.5000 0.7714
```